# Na6WF12

A geometry-optimized Na6WF12 structure (PBE with a Hubbard U, Alexandria).

Cell and atoms, written as POSCAR:
```
Na6WF12
1.0
5.071 2.928 3.328
-5.071 2.928 3.328
0.000 -5.855 3.328
Na W F
6 1 12
Cartesian
-1.144 -1.942 3.873
-1.110 1.962 3.873
-2.254 0.020 6.110
2.254 -0.020 3.873
1.110 -1.962 6.110
1.144 1.942 6.110
0.000 0.000 0.000
-4.362 -1.572 5.563
-0.820 -4.563 4.420
-2.238 0.035 3.841
-3.542 2.992 4.420
1.089 -1.956 3.841
-1.149 -1.921 6.142
1.149 1.921 3.841
-1.089 1.956 6.142
3.542 -2.992 5.563
2.238 -0.035 6.142
0.820 4.563 5.563
4.362 1.572 4.420
```

Calculated values
**E_tot**: -0.337 Ry per atom